Record 1
Ce3AlVS7 after structural relaxation. Source: the Alexandria database, functional PBE.

abc: 9.9605 9.9605 6.1149
angles: 90.00 90.00 120.00
Closest atoms and distances in Å follow each position.
Space group P6_3 (No. 173)
Unique sites:
1 Ce 0.1493 0.3756 0.0000 (multiplicity 6)  7 S 2.86-3.04
2 Al 0.3333 0.6667 0.4220 (multiplicity 2)  4 S 2.23-2.26
3 V 0.0000 0.0000 0.3283 (multiplicity 2)  6 S 2.48-2.49
4 S 0.0923 0.2260 0.5789 (multiplicity 6)  2 V 2.48-2.49
5 S 0.0944 0.5738 0.2780 (multiplicity 6)  1 Al 2.26
6 S 0.3333 0.6667 0.7864 (multiplicity 2)  1 Al 2.23

## Properties
E_form (uncorrected) (meV/atom): -1638
D(E_F) (states/eV/cell): 48.43
Crystal system: hexagonal
Total magnetization (Bohr magnetons per cell): 10.022

Record 2
Ce3AlZnS7 after structural relaxation. Source: the Alexandria database, functional PBE.

abc: 10.1156 10.1156 6.1074
angles: 90.00 90.00 120.00
Closest atoms and distances in Å follow each position.
Space group P6_3 (No. 173)
Unique sites:
1 Ce 0.1422 0.7667 0.0000 (multiplicity 6)  7 S 2.83-3.05
2 Al 0.3333 0.6667 0.5822 (multiplicity 2)  4 S 2.24-2.26
3 Zn 0.0000 0.0000 0.4144 (multiplicity 2)  3 S 2.26
4 S 0.0990 0.5205 0.7311 (multiplicity 6)  1 Al 2.26
5 S 0.0989 0.8448 0.4575 (multiplicity 6)  1 Zn 2.26
6 S 0.3333 0.6667 0.2152 (multiplicity 2)  1 Al 2.24

## Properties
E_form (uncorrected) (meV/atom): -1580
D(E_F) (states/eV/cell): 45.81
Crystal system: hexagonal
Total magnetization (Bohr magnetons per cell): 6.005

Record 3
Ce6Al2Sb after structural relaxation. Source: the Alexandria database, functional PBE.

abc: 8.9157 8.9157 3.0875
angles: 90.00 90.00 120.00
Closest atoms and distances in Å follow each position.
Space group P6/mmm (No. 191)
Unique sites:
1 Ce 0.0000 0.3438 0.0000 (multiplicity 6)  5 Ce 2.78-3.09
2 Al 0.3333 0.6667 0.5000 (multiplicity 2)  2 Al 3.09, 12 Ce 3.31
3 Sb 0.0000 0.0000 0.5000 (multiplicity 1)  2 Sb 3.09, 12 Ce 3.43

## Properties
E_form (uncorrected) (meV/atom): -262
D(E_F) (states/eV/cell): 22.54
Crystal system: hexagonal
Total magnetization (Bohr magnetons per cell): 2.217

Record 4
Ce6AlSb after structural relaxation. Source: the Alexandria database, functional PBE.

abc: 4.7167 4.7167 9.4350
angles: 90.00 90.00 90.00
Closest atoms and distances in Å follow each position.
Space group P4/mmm (No. 123)
Unique sites:
1 Ce 0.0000 0.0000 0.0000 (multiplicity 1)  8 Ce 3.31, 4 Al 3.34
2 Ce 0.0000 0.0000 0.5000 (multiplicity 1)  4 Sb 3.34, 8 Ce 3.37
3 Ce 0.0000 0.5000 0.2455 (multiplicity 4)  8 Ce 3.31-3.37, 2 Al 3.31, 2 Sb 3.37
4 Al 0.5000 0.5000 0.0000 (multiplicity 1)  12 Ce 3.31-3.34
5 Sb 0.5000 0.5000 0.5000 (multiplicity 1)  12 Ce 3.34-3.37

## Properties
E_form (uncorrected) (meV/atom): -358
D(E_F) (states/eV/cell): 22.23
Crystal system: tetragonal
Total magnetization (Bohr magnetons per cell): 5.048

Record 5
Ce2AlSb4 after structural relaxation. Source: the Alexandria database, functional PBE.

abc: 4.4273 4.4273 10.0269
angles: 90.00 90.00 90.00
Closest atoms and distances in Å follow each position.
Space group P-4m2 (No. 115)
Unique sites:
1 Ce 0.0000 0.5000 0.2454 (multiplicity 2)  8 Sb 3.27-3.31, 2 Al 3.38
2 Al 0.0000 0.0000 0.5000 (multiplicity 1)  4 Sb 2.73
3 Sb 0.0000 0.0000 0.0000 (multiplicity 1)  4 Sb 3.13, 4 Ce 3.31
4 Sb 0.0000 0.5000 0.6597 (multiplicity 2)  2 Al 2.73
5 Sb 0.5000 0.5000 0.0000 (multiplicity 1)  4 Sb 3.13, 4 Ce 3.31

## Properties
E_form (uncorrected) (meV/atom): -643
D(E_F) (states/eV/cell): 12.08
Crystal system: tetragonal
Total magnetization (Bohr magnetons per cell): 1.915

Record 6
CeAlSb2 after structural relaxation. Source: the Alexandria database, functional PBE.

abc: 4.7900 4.7900 4.2770
angles: 90.00 90.00 90.00
Closest atoms and distances in Å follow each position.
Space group P4/mmm (No. 123)
Unique sites:
1 Ce 0.0000 0.0000 0.0000 (multiplicity 1)  8 Sb 3.21, 4 Al 3.39
2 Al 0.5000 0.5000 0.0000 (multiplicity 1)  8 Sb 3.21, 4 Ce 3.39
3 Sb 0.0000 0.5000 0.5000 (multiplicity 2)  4 Ce 3.21, 4 Al 3.21, 4 Sb 3.39

## Properties
E_form (uncorrected) (meV/atom): -538
D(E_F) (states/eV/cell): 3.40
Crystal system: tetragonal
Total magnetization (Bohr magnetons per cell): 0.000